# ZrCl2

ZrCl2 after structural relaxation (PBE, Alexandria).

Unit cell a=3.4200 b=3.4200 c=14.6095 alpha=90.00 beta=90.00 gamma=120.00
Fractional coordinates of all 6 atoms:
Zr: 0.0000 0.0000 0.2500
Zr: 0.0000 0.0000 0.7500
Cl: 0.3333 0.6667 0.1322
Cl: 0.3333 0.6667 0.3678
Cl: 0.6667 0.3333 0.6322
Cl: 0.6667 0.3333 0.8678

DFT total energy ... -17.18 eV per formula unit
ΔE_f (raw) ... -477 kJ/mol of formula units
Symmetry ... P6_3/mmc (194)
Spin magnetization ... 0.00 μB per formula unit

# Zr5Cl

Zr5Cl after structural relaxation (PBE, Alexandria).

Unit cell a=10.6592 b=3.2258 c=7.9570 alpha=90.00 beta=104.55 gamma=90.00
Fractional coordinates of all 12 atoms:
Zr: 0.0000 0.0000 0.0000
Zr: 0.0605 0.0000 0.4111
Zr: 0.1549 0.5000 0.7573
Zr: 0.2588 0.5000 0.2469
Zr: 0.3669 0.0000 0.5978
Zr: 0.5000 0.5000 0.0000
Zr: 0.5605 0.5000 0.4111
Zr: 0.6549 0.0000 0.7573
Zr: 0.7588 0.0000 0.2469
Zr: 0.8669 0.5000 0.5978
Cl: 0.3002 0.0000 0.9974
Cl: 0.8002 0.5000 0.9974

DFT total energy ... -45.46 eV per formula unit
ΔE_f (raw) ... -84 kJ/mol of formula units
Symmetry ... Cm (8)
Energy relative to the lowest polymorph listed for this composition ... 0.0 meV per atom
Spin magnetization ... 0.00 μB per formula unit
N(E_F) ... 12.286 states/eV per cell

# ZrCl2

ZrCl2 after structural relaxation (PBE, Alexandria).

Unit cell a=3.4194 b=3.4194 c=21.7986 alpha=90.00 beta=90.00 gamma=120.00
Fractional coordinates of all 9 atoms:
Zr: 0.0000 0.0000 0.0000
Zr: 0.3333 0.6667 0.6667
Zr: 0.6667 0.3333 0.3333
Cl: 0.0000 0.0000 0.2544
Cl: 0.0000 0.0000 0.4123
Cl: 0.3333 0.6667 0.0790
Cl: 0.3333 0.6667 0.9210
Cl: 0.6667 0.3333 0.5877
Cl: 0.6667 0.3333 0.7456

DFT total energy ... -17.18 eV per formula unit
ΔE_f (raw) ... -477 kJ/mol of formula units
Symmetry ... R3m (160)
Spin magnetization ... 0.00 μB per formula unit

Please write out number 1 again, unchanged.
# ZrCl2

ZrCl2 after structural relaxation (PBE, Alexandria).

Unit cell a=3.4200 b=3.4200 c=14.6095 alpha=90.00 beta=90.00 gamma=120.00
Fractional coordinates of all 6 atoms:
Zr: 0.0000 0.0000 0.2500
Zr: 0.0000 0.0000 0.7500
Cl: 0.3333 0.6667 0.1322
Cl: 0.3333 0.6667 0.3678
Cl: 0.6667 0.3333 0.6322
Cl: 0.6667 0.3333 0.8678

DFT total energy ... -17.18 eV per formula unit
ΔE_f (raw) ... -477 kJ/mol of formula units
Symmetry ... P6_3/mmc (194)
Spin magnetization ... 0.00 μB per formula unit

> Which value of ΔE_f (raw) does entry 2 give?

-84 kJ/mol of formula units